[1]
20
Lattice="3.910 0.000 0.000 0.000 3.910 0.000 0.000 0.000 19.567" Properties=species:S:1:pos:R:3 comment="PBE Li4Zn15Ag, optimized geometry" total_energy_ev_per_atom=-1.580 volume_a3_per_cell=299.2 space_group="P4/mmm, No. 123" pbc="T T T"
Zn 1.955 0.000 17.526
Zn 1.955 0.000 5.882
Zn 0.000 1.955 2.041
Zn 0.000 1.955 17.526
Zn 0.000 1.955 5.882
Zn 0.000 1.955 13.685
Zn 1.955 1.955 11.738
Zn 1.955 0.000 9.784
Zn 1.955 1.955 7.829
Zn 1.955 0.000 2.041
Zn 1.955 1.955 15.634
Li 0.000 0.000 3.964
Li 0.000 0.000 7.817
Li 0.000 0.000 15.604
Zn 1.955 1.955 0.000
Zn 0.000 1.955 9.784
Zn 1.955 1.955 3.933
Ag 0.000 0.000 0.000
Li 0.000 0.000 11.750
Zn 1.955 0.000 13.685

[2]
12
Lattice="4.741 0.000 0.000 2.371 7.118 0.929 2.371 1.045 6.255" Properties=species:S:1:pos:R:3 comment="PBE LiZn4Ag7, optimized geometry" total_energy_ev_per_atom=-2.222 volume_a3_per_cell=206.5 space_group="C2/m, No. 12" pbc="T T T"
Ag 2.371 0.000 0.000
Ag 4.741 6.078 5.649
Ag 2.371 1.382 3.036
Zn 4.741 4.562 0.638
Ag 4.741 2.086 1.536
Zn 4.741 5.560 3.111
Ag 2.371 4.401 2.240
Ag 7.112 3.762 4.944
Zn 4.741 2.603 4.073
Li 0.000 0.000 0.000
Zn 4.741 3.601 6.546
Ag 7.112 6.781 4.148

[3]
12
Lattice="-3.767 -0.558 1.258 0.113 -2.464 -7.106 4.211 -4.583 4.225" Properties=species:S:1:pos:R:3 comment="PBE LiZn6Ag5, optimized geometry" total_energy_ev_per_atom=-2.063 volume_a3_per_cell=191.2 space_group="C2/m, No. 12" pbc="T T T"
Zn -1.740 -2.194 0.219
Ag 2.866 -3.887 0.506
Zn -0.262 -5.347 -3.085
Ag 1.687 -4.530 3.081
Ag 1.458 -3.159 -3.388
Ag -1.129 -3.074 -4.704
Li 0.000 0.000 0.000
Zn 2.298 -5.410 -1.843
Zn -0.533 -1.558 -2.279
Zn 1.091 -6.047 0.655
Ag 0.279 -3.802 -0.812
Zn 0.820 -2.257 1.461

[4]
19
Lattice="6.746 0.060 0.863 0.767 6.702 0.863 0.067 0.060 6.801" Properties=species:S:1:pos:R:3 comment="PBE LiZn17Ag, optimized geometry" total_energy_ev_per_atom=-1.387 volume_a3_per_cell=306.5 space_group="R3m, No. 160" pbc="T T T"
Li 5.077 4.570 5.712
Zn 4.585 1.090 5.158
Zn 2.597 4.531 0.862
Zn 2.961 5.665 3.331
Zn 0.552 4.531 2.680
Zn 5.945 2.351 3.331
Zn 1.565 4.445 5.158
Zn 4.939 4.445 2.159
Zn 4.564 0.074 2.680
Zn 2.127 0.074 4.846
Zn 4.147 6.728 8.016
Zn 2.612 2.351 6.294
Zn 4.778 2.108 0.862
Zn 0.296 2.108 4.846
Ag 3.145 2.831 3.538
Zn 7.126 3.419 8.016
Zn 6.801 6.121 7.650
Zn 7.475 6.728 5.058
Zn 0.715 0.644 0.805

[5]
14
Lattice="5.457 0.695 -0.248 2.390 4.954 -0.248 2.425 1.746 9.408" Properties=species:S:1:pos:R:3 comment="PBE Li5ZnAg, optimized geometry" total_energy_ev_per_atom=-2.023 volume_a3_per_cell=242.6 space_group="C2/c, No. 15" pbc="T T T"
Ag 5.183 2.353 2.104
Li 4.021 2.459 7.462
Zn 1.212 0.873 4.704
Li 6.627 2.903 6.808
Li 6.130 4.630 4.163
Li 4.142 2.765 4.749
Li 2.723 2.178 0.045
Li 3.644 4.491 2.104
Li 2.395 2.161 2.758
Zn 0.000 0.000 0.000
Li 6.250 4.936 1.450
Li 7.876 5.234 6.154
Li 7.548 5.217 8.867
Ag 5.088 5.042 6.808

[6]
10
Lattice="-1.847 -2.536 0.800 1.357 -1.737 -2.372 10.769 -4.793 9.668" Properties=species:S:1:pos:R:3 comment="PBE Li4ZnAg5, optimized geometry" total_energy_ev_per_atom=-2.504 volume_a3_per_cell=159.8 space_group="P4/mmm, No. 123" pbc="T T T"
Li 4.306 -1.916 3.866
Ag 0.838 -2.618 0.187
Li 6.463 -2.876 5.803
Li 8.622 -3.837 7.740
Zn 0.000 0.000 0.000
Li 2.148 -0.956 1.928
Ag 7.295 -5.492 5.983
Ag 5.140 -4.533 4.048
Ag 9.441 -6.447 7.910
Ag 2.984 -3.574 2.113

[7]
20
Lattice="4.458 0.000 0.000 0.000 6.964 -2.097 0.000 0.102 9.627" Properties=species:S:1:pos:R:3 comment="PBE Li3Zn6Ag, optimized geometry" total_energy_ev_per_atom=-1.778 volume_a3_per_cell=299.8 space_group="P2_1/m, No. 11" pbc="T T T"
Li 3.344 1.448 8.917
Zn 3.344 0.083 6.441
Zn 1.115 1.356 0.831
Li 3.344 2.867 6.573
Li 1.115 4.199 0.958
Ag 1.115 2.831 3.279
Zn 3.344 2.713 1.631
Zn 1.115 5.734 3.427
Zn 1.115 0.221 7.988
Ag 3.344 4.235 4.251
Zn 1.115 4.352 5.899
Li 3.344 5.535 1.872
Li 1.115 5.618 -1.387
Zn 1.115 2.929 8.202
Zn 3.344 6.845 -0.458
Zn 3.344 5.709 6.699
Zn 1.115 6.983 1.089
Zn 3.344 4.137 -0.672
Li 1.115 1.530 5.658
Zn 3.344 1.331 4.104

[8]
8
Lattice="4.520 0.000 0.000 0.000 4.576 -0.318 -2.260 -1.854 6.216" Properties=species:S:1:pos:R:3 comment="PBE Li2Zn3Ag3, optimized geometry" total_energy_ev_per_atom=-2.143 volume_a3_per_cell=125.9 space_group="C2/m, No. 12" pbc="T T T"
Ag 2.260 0.321 4.420
Li 0.000 0.213 3.026
Li 2.260 2.509 2.873
Zn 0.000 2.607 4.348
Zn 2.260 0.114 1.550
Ag 0.000 2.401 1.479
Zn 2.260 2.288 -0.159
Ag 0.000 0.000 0.000

[9]
8
Lattice="-0.170 -2.749 -1.226 1.467 -1.856 3.958 -8.358 0.157 4.516" Properties=species:S:1:pos:R:3 comment="PBE Li4ZnAg3, optimized geometry" total_energy_ev_per_atom=-2.329 volume_a3_per_cell=129.4 space_group="C2/m, No. 12" pbc="T T T"
Li -5.518 -2.016 5.286
Li -3.880 -1.061 2.918
Ag -0.837 -1.992 4.582
Ag -6.223 -2.457 2.665
Ag 0.734 -0.928 1.979
Li -3.181 -3.387 4.330
Li -1.543 -2.433 1.962
Zn -0.085 -1.375 -0.613

[10]
9
Lattice="-3.048 4.392 -0.494 -4.249 -3.201 -2.254 -3.977 -2.371 3.456" Properties=species:S:1:pos:R:3 comment="PBE Li2Zn6Ag, optimized geometry" total_energy_ev_per_atom=-1.643 volume_a3_per_cell=155.2 space_group="P-3m1, No. 164" pbc="T T T"
Zn -5.318 0.842 1.421
Zn -7.711 -3.071 0.813
Li -3.230 -1.158 0.322
Zn -5.438 0.475 -1.102
Li -8.045 -0.022 0.385
Zn -5.836 -1.656 1.809
Ag 0.000 0.000 0.000
Zn -5.956 -2.023 -0.714
Zn -3.563 1.890 -0.106

[11]
20
Lattice="-2.405 -1.963 -4.602 7.271 -0.141 -3.356 -1.138 -6.893 3.918" Properties=species:S:1:pos:R:3 comment="PBE Li2Zn3Ag5, optimized geometry" total_energy_ev_per_atom=-2.289 volume_a3_per_cell=336.8 space_group="C2/c, No. 15" pbc="T T T"
Ag 1.848 -1.392 -0.218
Zn 4.726 -3.657 -1.283
Ag -0.122 -2.990 -1.854
Ag 3.851 -6.007 -2.186
Li 1.488 -6.308 1.555
Ag 1.881 -7.605 -3.822
Zn 1.100 -6.584 -1.487
Ag -2.727 -6.741 -1.455
Li 4.399 -3.987 -4.304
Li 2.240 -2.689 -5.595
Zn -0.997 -5.340 -2.756
Zn 2.629 -2.413 -2.552
Zn 5.215 -1.817 -6.589
Ag 2.099 -4.302 -0.552
Li -0.670 -5.010 0.264
Ag 1.630 -4.695 -3.488
Zn -1.486 -7.180 2.549
Ag 6.456 -2.256 -2.585
Ag -0.497 -7.855 0.089
Ag 4.226 -1.142 -4.128

[12]
18
Lattice="6.884 0.000 0.000 0.000 6.769 0.000 0.000 -3.384 6.626" Properties=species:S:1:pos:R:3 comment="PBE Li5Zn2Ag2, optimized geometry" total_energy_ev_per_atom=-2.049 volume_a3_per_cell=308.8 space_group="Cmce, No. 64" pbc="T T T"
Ag 3.442 3.384 2.924
Ag 3.442 0.000 3.702
Li 0.000 0.000 0.000
Li 2.159 2.096 4.808
Li 1.284 -1.289 4.808
Li 1.284 2.096 1.819
Li 3.442 3.384 0.000
Ag 0.000 0.000 2.924
Ag 0.000 3.384 3.702
Zn 6.011 2.532 0.000
Zn 4.315 5.916 0.000
Li 5.601 1.289 4.808
Li 4.726 -2.096 4.808
Zn 2.569 0.852 0.000
Li 4.726 1.289 1.819
Zn 0.873 4.236 0.000
Li 2.159 5.480 1.819
Li 5.601 4.673 1.819

no.,M_tot (μB/atom)
1,0.0000
2,0.0000
3,0.0000
4,0.0000
5,0.0000
6,0.0000
7,0.0000
8,0.0000
9,0.0000
10,0.0000
11,0.0000
12,0.0000